Density functional theory data (GGA-PBE) for a relaxed structure of ReTc2Au.

Lattice parameters (Å, degrees): 4.785 4.785 4.785 131.07 131.07 71.71
Fractional positions:
Au (0.250, 0.750, 0.500)
Re (0.750, 0.250, 0.500)
Tc (0.000, 0.000, 0.000)
Tc (0.500, 0.500, 0.000)

Values from the calculation:
As for the space group: I4/mmm (139). As for the energy above the most stable polymorph in this dataset: 0.112 eV/atom. As for the formation energy from the elements: 0.28 eV/atom. As for the uncorrected energy: -0.649 Ry per atom.